[1]
DFT (PBE-GGA) results for a geometry-optimized CaAlCd3 structure.

The structure in POSCAR format:
```
CaAlCd3
1.0
-0.579 6.413 1.150
-4.204 1.602 4.752
4.736 -0.345 4.306
Cd Ca Al
6 2 2
Cartesian
1.271 0.959 3.950
0.848 1.285 6.828
-2.791 3.975 3.888
0.001 3.477 3.163
2.369 3.304 5.316
-1.520 1.457 4.675
-0.651 0.388 1.247
-0.868 4.546 6.591
1.827 5.473 3.700
-3.926 5.873 5.288
```

Properties
The energy relative to the lowest polymorph listed for this composition comes out at 0.0 meV per atom. For the formation energy, the calculation gives -149 meV per atom. As for the volume: 248.4 Å³/cell.

[2]
DFT (PBE-GGA) results for a geometry-optimized Zr2CdP structure.

The structure in POSCAR format:
```
Zr2CdP
1.0
-2.771 -1.398 -0.893
0.585 -2.450 2.021
-3.644 3.691 5.529
Zr P Cd
2 1 1
Cartesian
-1.074 1.088 1.629
-2.570 2.603 3.899
-2.915 -0.079 3.328
-1.093 -1.924 0.564
```

Properties
The energy relative to the lowest polymorph listed for this composition comes out at 210.6 meV per atom. For the formation energy, the calculation gives -522 meV per atom. As for the volume: 79.1 Å³/cell.

[3]
DFT (PBE-GGA) results for a geometry-optimized TlZnCu2 structure.

The structure in POSCAR format:
```
TlZnCu2
1.0
7.239 0.000 0.000
0.000 7.239 0.000
3.619 3.619 2.730
Zn Tl Cu
2 2 4
Cartesian
3.619 3.619 0.000
3.619 7.239 1.365
7.239 3.619 1.365
0.000 0.000 0.000
2.037 5.429 0.683
5.202 1.810 0.683
5.429 5.656 2.048
9.048 8.821 2.048
```

Properties
The energy relative to the lowest polymorph listed for this composition comes out at 205.2 meV per atom. For the formation energy, the calculation gives 365 meV per atom. As for the volume: 143.1 Å³/cell.